(1)
Computed, not measured: Sr3CoC at its PBEsol-relaxed geometry at the SCAN level of DFT.

Summary:
mass density: 3.81 Mg/m³
energy of formation from the pure elements: 0.591 eV/atom
magnetic moment: 3.5 μB per cell

a b c (Å): 5.2610 5.2610 5.2610
angles (deg): 90.00 90.00 90.00
Fractional coordinates of all 5 atoms:
1 Sr 0.0000 0.0000 0.5000
2 Sr 0.0000 0.5000 0.0000
3 Sr 0.5000 0.0000 0.0000
4 Co 0.5000 0.5000 0.5000
5 C 0.0000 0.0000 0.0000

(2)
Computed, not measured: Ta4Co2C at its PBEsol-relaxed geometry at the SCAN level of DFT.

Summary:
mass density: 14.79 Mg/m³
energy of formation from the pure elements: -0.359 eV/atom
magnetic moment: 11.7 μB per cell

a b c (Å): 8.1544 8.1544 8.1544
angles (deg): 60.00 60.00 60.00
Fractional coordinates of all 28 atoms:
1 Ta 0.0000 0.0000 0.0000
2 Ta 0.0000 0.0000 0.5000
3 Ta 0.0000 0.5000 0.0000
4 Ta 0.1880 0.1880 0.5620
5 Ta 0.1880 0.5620 0.1880
6 Ta 0.1880 0.5620 0.5620
7 Ta 0.4380 0.4380 0.8120
8 Ta 0.4380 0.8120 0.4380
9 Ta 0.4380 0.8120 0.8120
10 Ta 0.5000 0.0000 0.0000
11 Ta 0.5620 0.1880 0.1880
12 Ta 0.5620 0.1880 0.5620
13 Ta 0.5620 0.5620 0.1880
14 Ta 0.8120 0.4380 0.4380
15 Ta 0.8120 0.4380 0.8120
16 Ta 0.8120 0.8120 0.4380
17 Co 0.1237 0.7921 0.7921
18 Co 0.2079 0.2079 0.2079
19 Co 0.2079 0.2079 0.8763
20 Co 0.2079 0.8763 0.2079
21 Co 0.7921 0.1237 0.7921
22 Co 0.7921 0.7921 0.1237
23 Co 0.7921 0.7921 0.7921
24 Co 0.8763 0.2079 0.2079
25 C 0.0000 0.5000 0.5000
26 C 0.5000 0.0000 0.5000
27 C 0.5000 0.5000 0.0000
28 C 0.5000 0.5000 0.5000

(3)
Computed, not measured: Ta3Co3C at its PBEsol-relaxed geometry at the SCAN level of DFT.

Summary:
mass density: 13.93 Mg/m³
energy of formation from the pure elements: -0.263 eV/atom
magnetic moment: 8.1 μB per cell

a b c (Å): 7.9013 7.9013 7.9013
angles (deg): 60.00 60.00 60.00
Fractional coordinates of all 28 atoms:
1 Ta 0.0747 0.0747 0.6753
2 Ta 0.0747 0.6753 0.0747
3 Ta 0.0747 0.6753 0.6753
4 Ta 0.3247 0.3247 0.9253
5 Ta 0.3247 0.9253 0.3247
6 Ta 0.3247 0.9253 0.9253
7 Ta 0.6753 0.0747 0.0747
8 Ta 0.6753 0.0747 0.6753
9 Ta 0.6753 0.6753 0.0747
10 Ta 0.9253 0.3247 0.3247
11 Ta 0.9253 0.3247 0.9253
12 Ta 0.9253 0.9253 0.3247
13 Co 0.0000 0.5000 0.5000
14 Co 0.2967 0.2967 0.2967
15 Co 0.2967 0.2967 0.6099
16 Co 0.2967 0.6099 0.2967
17 Co 0.3901 0.7033 0.7033
18 Co 0.5000 0.0000 0.5000
19 Co 0.5000 0.5000 0.0000
20 Co 0.5000 0.5000 0.5000
21 Co 0.6099 0.2967 0.2967
22 Co 0.7033 0.3901 0.7033
23 Co 0.7033 0.7033 0.3901
24 Co 0.7033 0.7033 0.7033
25 C 0.0000 0.0000 0.0000
26 C 0.0000 0.0000 0.5000
27 C 0.0000 0.5000 0.0000
28 C 0.5000 0.0000 0.0000

(4)
Computed, not measured: Ta2Ti2Co2C at its PBEsol-relaxed geometry at the SCAN level of DFT.

Summary:
mass density: 10.64 Mg/m³
energy of formation from the pure elements: -0.424 eV/atom
magnetic moment: 0.0 μB per cell

a b c (Å): 8.0242 8.0242 8.0242
angles (deg): 119.75 119.75 90.43
Fractional coordinates of all 28 atoms:
1 Ta 0.1846 0.1846 0.0000
2 Ta 0.1915 0.1915 0.3830
3 Ta 0.1915 0.8085 0.0000
4 Ta 0.5569 0.0569 0.5000
5 Ta 0.8085 0.1915 0.0000
6 Ta 0.8085 0.8085 0.6170
7 Ta 0.8154 0.8154 0.0000
8 Ta 0.9431 0.4431 0.5000
9 Ti 0.3708 0.1250 0.7542
10 Ti 0.3708 0.6166 0.2458
11 Ti 0.3834 0.6292 0.7542
12 Ti 0.5654 0.0654 0.1308
13 Ti 0.5654 0.4346 0.5000
14 Ti 0.8750 0.6292 0.2458
15 Ti 0.9346 0.0654 0.5000
16 Ti 0.9346 0.4346 0.8692
17 Co 0.1638 0.5009 0.3372
18 Co 0.1638 0.8266 0.6628
19 Co 0.1734 0.8362 0.3372
20 Co 0.2503 0.4182 0.8321
21 Co 0.4991 0.8362 0.6628
22 Co 0.5818 0.4139 0.8321
23 Co 0.5818 0.7497 0.1679
24 Co 0.5861 0.4182 0.1679
25 C 0.3786 0.1264 0.2522
26 C 0.8736 0.1257 0.2522
27 C 0.8743 0.1264 0.7478
28 C 0.8736 0.6214 0.7478

(5)
Computed, not measured: TbCoC at its PBEsol-relaxed geometry at the SCAN level of DFT.

Summary:
mass density: 8.64 Mg/m³
energy of formation from the pure elements: -0.328 eV/atom
magnetic moment: 2.1 μB per cell

a b c (Å): 3.5811 3.5811 6.8938
angles (deg): 90.00 90.00 90.00
Fractional coordinates of all 6 atoms:
1 Tb 0.0000 0.0000 0.2500
2 Tb 0.0000 0.0000 0.7500
3 Co 0.5000 0.5000 0.0000
4 Co 0.5000 0.5000 0.5000
5 C 0.0000 0.5000 0.0000
6 C 0.5000 0.0000 0.5000

(6)
Computed, not measured: TbCoC2 at its PBEsol-relaxed geometry at the SCAN level of DFT.

Summary:
mass density: 8.55 Mg/m³
energy of formation from the pure elements: -0.360 eV/atom
magnetic moment: 0.0 μB per cell

a b c (Å): 3.5540 3.7057 3.7057
angles (deg): 74.23 90.00 90.00
Fractional coordinates of all 4 atoms:
1 Tb 0.0000 0.0000 0.0000
2 Co 0.5000 0.6154 0.6154
3 C 0.5000 0.1505 0.4596
4 C 0.5000 0.4596 0.1505

(7)
Computed, not measured: ThCoC2 at its PBEsol-relaxed geometry at the SCAN level of DFT.

Summary:
mass density: 10.21 Mg/m³
energy of formation from the pure elements: -0.269 eV/atom
magnetic moment: 0.0 μB per cell

a b c (Å): 3.7876 3.7513 3.7513
angles (deg): 74.05 90.00 90.00
Fractional coordinates of all 4 atoms:
1 Th 0.0000 0.0000 0.0000
2 Co 0.5000 0.6046 0.6046
3 C 0.5000 0.1436 0.4580
4 C 0.5000 0.4580 0.1436

(8)
Computed, not measured: TlCo2C at its PBEsol-relaxed geometry at the SCAN level of DFT.

Summary:
mass density: 11.07 Mg/m³
energy of formation from the pure elements: 0.629 eV/atom
magnetic moment: 0.0 μB per cell

a b c (Å): 5.0751 5.0751 5.0751
angles (deg): 107.58 107.58 113.32
Fractional coordinates of all 8 atoms:
1 Tl 0.0000 0.0000 0.0000
2 Tl 0.7500 0.2500 0.5000
3 Co 0.2481 0.1250 0.6231
4 Co 0.3750 0.7519 0.8769
5 Co 0.5019 0.6250 0.3769
6 Co 0.8750 0.4981 0.1231
7 C 0.2500 0.7500 0.5000
8 C 0.5000 0.5000 0.0000